No. 1
18
Lattice="6.1932 0.0000 0.0000 0.0000 6.1932 0.0000 0.0000 0.0000 7.9121" Properties=species:S:1:pos:R:3 comment="DySi4Pt4 | the Alexandria database | PBE | optimized geometry" spacegroup="No. 137" mass_density_g_cm3=11.5 crystal_system=tetragonal pbc="T T T"
Dy 1.5483 4.6449 1.9780
Dy 4.6449 1.5483 5.9341
Si 0.1952 1.5483 0.5313
Si 1.5483 0.1952 4.4873
Si 1.5483 2.9014 4.4873
Si 2.9014 1.5483 0.5313
Si 3.2918 4.6449 7.3808
Si 4.6449 3.2918 3.4248
Si 4.6449 5.9981 3.4248
Si 5.9981 4.6449 7.3808
Pt 0.1602 1.5483 2.9508
Pt 1.5483 0.1602 6.9069
Pt 1.5483 2.9364 6.9069
Pt 2.9364 1.5483 2.9508
Pt 3.2569 4.6449 4.9613
Pt 4.6449 3.2569 1.0052
Pt 4.6449 6.0330 1.0052
Pt 6.0330 4.6449 4.9613

No. 2
12
Lattice="7.6629 0.0000 0.0000 0.0000 3.8854 0.0000 0.0000 0.0000 6.9028" Properties=species:S:1:pos:R:3 comment="DySiPt4 | the Alexandria database | PBE | optimized geometry" spacegroup="No. 51" mass_density_g_cm3=15.7 crystal_system=orthorhombic pbc="T T T"
Dy 1.9157 0.0000 0.8983
Dy 5.7472 0.0000 6.0045
Si 1.9157 0.0000 4.9124
Si 5.7472 0.0000 1.9904
Pt 0.0000 0.0000 3.4514
Pt 0.4536 1.9427 5.5804
Pt 1.9157 1.9427 3.0635
Pt 3.3779 1.9427 5.5804
Pt 3.8315 0.0000 3.4514
Pt 4.2850 1.9427 1.3224
Pt 5.7472 1.9427 3.8394
Pt 7.2093 1.9427 1.3224

No. 3
8
Lattice="3.9154 0.0000 0.0000 0.0000 4.2613 0.0000 0.0000 0.0000 10.7073" Properties=species:S:1:pos:R:3 comment="Dy4SiPt3 | the Alexandria database | PBE | optimized geometry" spacegroup="No. 25" mass_density_g_cm3=11.7 crystal_system=orthorhombic pbc="T T T"
Dy 0.0000 0.0000 0.0000
Dy 0.0000 2.1307 3.0075
Dy 1.9577 0.0000 5.3728
Dy 1.9577 2.1307 8.3889
Si 1.9577 0.0000 2.3270
Pt 0.0000 0.0000 7.8073
Pt 0.0000 2.1307 5.8935
Pt 1.9577 2.1307 0.6926

No. 4
20
Lattice="2.1034 -12.0638 0.0000 2.1034 12.0638 0.0000 0.0000 0.0000 6.7511" Properties=species:S:1:pos:R:3 comment="Dy2Si3Pt5 | the Alexandria database | PBE | optimized geometry" spacegroup="No. 36" mass_density_g_cm3=13.4 crystal_system=orthorhombic pbc="T T T"
Dy 2.1034 11.3909 3.3755
Dy 2.1034 4.1748 3.6607
Dy 2.1034 -4.1748 0.2852
Dy 2.1034 -11.3909 0.0000
Si 2.1034 9.0688 5.0600
Si 2.1034 5.5236 0.6603
Si 2.1034 1.1382 4.7200
Si 2.1034 -1.1382 1.3445
Si 2.1034 -5.5236 4.0358
Si 2.1034 -9.0688 1.6844
Pt 2.1034 9.8628 0.7067
Pt 2.1034 7.3706 2.4679
Pt 2.1034 6.6198 5.3089
Pt 2.1034 3.0875 0.2071
Pt 2.1034 1.1709 2.2436
Pt 2.1034 -1.1709 5.6192
Pt 2.1034 -3.0875 3.5826
Pt 2.1034 -6.6198 1.9334
Pt 2.1034 -7.3706 5.8434
Pt 2.1034 -9.8628 4.0822

No. 5
28
Lattice="4.0533 0.0000 0.0000 0.0000 12.5757 0.0000 0.0000 0.0000 9.5760" Properties=species:S:1:pos:R:3 comment="Dy3Si5Pt6 | the Alexandria database | PBE | optimized geometry" spacegroup="No. 59" mass_density_g_cm3=12.2 crystal_system=orthorhombic pbc="T T T"
Dy 1.0133 1.0433 2.3428
Dy 1.0133 5.2446 2.3428
Dy 1.0133 9.4318 2.5062
Dy 3.0400 3.1439 7.0697
Dy 3.0400 7.3311 7.2332
Dy 3.0400 11.5324 7.2332
Si 1.0133 1.0367 8.1322
Si 1.0133 5.2511 8.1322
Si 1.0133 7.9910 5.1611
Si 1.0133 9.4318 8.1102
Si 1.0133 10.8725 5.1611
Si 3.0400 1.7032 4.4149
Si 3.0400 3.1439 1.4658
Si 3.0400 4.5846 4.4149
Si 3.0400 7.3246 1.4438
Si 3.0400 11.5390 1.4438
Pt 1.0133 0.6706 5.7580
Pt 1.0133 3.1439 4.5896
Pt 1.0133 3.1439 9.5302
Pt 1.0133 5.6172 5.7580
Pt 1.0133 7.3295 0.1005
Pt 1.0133 11.5340 0.1005
Pt 3.0400 1.0417 9.4755
Pt 3.0400 5.2461 9.4755
Pt 3.0400 6.9584 3.8180
Pt 3.0400 9.4318 0.0458
Pt 3.0400 9.4318 4.9863
Pt 3.0400 11.9051 3.8180

No. 6
9
Lattice="5.1681 -2.1545 0.0000 5.1681 2.1545 0.0000 -3.2544 0.0000 7.8773" Properties=species:S:1:pos:R:3 comment="Dy3Si2Pt4 | the Alexandria database | PBE | optimized geometry" spacegroup="No. 12" mass_density_g_cm3=12.5 crystal_system=monoclinic pbc="T T T"
Dy 0.0000 0.0000 0.0000
Dy 2.7549 0.0000 2.4293
Dy 4.3269 0.0000 5.4480
Si 1.3107 0.0000 5.2829
Si 5.7711 0.0000 2.5943
Pt -0.3280 0.0000 3.2555
Pt -0.0719 0.0000 7.2485
Pt 7.1537 0.0000 0.6288
Pt 7.4099 0.0000 4.6217

No. 7
7
Lattice="5.1492 -1.9361 0.0000 5.1492 1.9361 0.0000 -3.0548 0.0000 6.3563" Properties=species:S:1:pos:R:3 comment="Dy2Si2Pt3 | the Alexandria database | PBE | optimized geometry" spacegroup="No. 12" mass_density_g_cm3=12.7 crystal_system=monoclinic pbc="T T T"
Dy 0.5536 0.0000 1.7182
Dy 6.6900 0.0000 4.6381
Si -0.6433 0.0000 4.5788
Si 7.8869 0.0000 1.7775
Pt 3.6892 0.0000 0.3839
Pt 3.6218 0.0000 3.1781
Pt 3.5544 0.0000 5.9724

No. 8
9
Lattice="4.1810 0.0000 0.0000 0.0000 4.1810 0.0000 0.0000 0.0000 8.9636" Properties=species:S:1:pos:R:3 comment="Dy2Si2Pt5 | the Alexandria database | PBE | optimized geometry" spacegroup="No. 123" mass_density_g_cm3=14.4 crystal_system=tetragonal pbc="T T T"
Dy 0.0000 0.0000 0.0000
Dy 0.0000 0.0000 4.4818
Si 2.0905 2.0905 1.1736
Si 2.0905 2.0905 7.7900
Pt 0.0000 2.0905 2.3784
Pt 0.0000 2.0905 6.5852
Pt 2.0905 0.0000 2.3784
Pt 2.0905 0.0000 6.5852
Pt 2.0905 2.0905 4.4818

No. 9
9
Lattice="4.8471 -2.8144 0.0000 4.8471 2.8144 0.0000 -1.5205 0.0000 5.9243" Properties=species:S:1:pos:R:3 comment="Dy2SiPt6 | the Alexandria database | PBE | optimized geometry" spacegroup="No. 12" mass_density_g_cm3=15.7 crystal_system=monoclinic pbc="T T T"
Dy 0.8608 0.0000 2.1176
Dy 7.3129 0.0000 3.8067
Si 4.0869 0.0000 2.9622
Pt 3.2686 1.4396 1.1606
Pt 4.9051 1.4396 4.7638
Pt 2.4446 0.0000 4.7113
Pt 5.7291 0.0000 1.2131
Pt 3.2686 -1.4396 1.1606
Pt 4.9051 -1.4396 4.7638

No. 10
28
Lattice="17.0133 0.0000 0.0000 0.0000 4.1920 0.0000 0.0000 0.0000 6.5337" Properties=species:S:1:pos:R:3 comment="DySi2Pt4 | the Alexandria database | PBE | optimized geometry" spacegroup="No. 62" de_polymorph_ev_per_fu=0.00 mass_density_g_cm3=14.2 crystal_system=orthorhombic pbc="T T T"
Dy 2.3843 1.0480 0.2635
Dy 6.1224 3.1440 3.5303
Dy 10.8909 1.0480 3.0034
Dy 14.6290 3.1440 6.2702
Si 0.6722 3.1440 1.6372
Si 3.5783 1.0480 3.9102
Si 4.9284 3.1440 0.6434
Si 7.8345 1.0480 4.9040
Si 9.1788 3.1440 1.6297
Si 12.0849 1.0480 5.8904
Si 13.4351 3.1440 2.6235
Si 16.3411 1.0480 4.8966
Pt 0.5093 3.1440 5.5975
Pt 1.1827 1.0480 3.3697
Pt 2.9502 3.1440 2.4102
Pt 3.6614 3.1440 5.1647
Pt 4.8452 1.0480 1.8978
Pt 5.5564 1.0480 5.6770
Pt 7.3240 3.1440 0.1028
Pt 7.9974 1.0480 2.3307
Pt 9.0159 3.1440 4.2031
Pt 9.6893 1.0480 6.4309
Pt 11.4569 3.1440 0.8567
Pt 12.1681 3.1440 4.6359
Pt 13.3519 1.0480 1.3691
Pt 14.0631 1.0480 4.1236
Pt 15.8306 3.1440 3.1640
Pt 16.5040 1.0480 0.9362

No. 11
7
Lattice="2.0562 -6.9272 0.0000 2.0562 6.9272 0.0000 0.0000 0.0000 4.1196" Properties=species:S:1:pos:R:3 comment="DySi2Pt4 | the Alexandria database | PBE | optimized geometry" spacegroup="No. 65" de_polymorph_ev_per_fu=0.24 mass_density_g_cm3=14.1 crystal_system=orthorhombic pbc="T T T"
Dy 0.0000 0.0000 0.0000
Si 2.0562 1.1711 2.0598
Si 2.0562 -1.1711 2.0598
Pt 2.0562 4.5222 2.0598
Pt 2.0562 2.3625 0.0000
Pt 2.0562 -2.3625 0.0000
Pt 2.0562 -4.5222 2.0598

No. 12
20
Lattice="8.5548 0.0000 0.0000 0.0000 4.0877 0.0000 -0.5087 0.0000 9.7135" Properties=species:S:1:pos:R:3 comment="DySi3Pt6 | the Alexandria database | PBE | optimized geometry" spacegroup="No. 11" mass_density_g_cm3=13.9 crystal_system=monoclinic pbc="T T T"
Dy 0.4555 1.0219 1.7794
Dy 7.5906 3.0658 7.9341
Si 0.8829 1.0219 6.1151
Si 1.8982 3.0658 9.6353
Si 3.5118 1.0219 3.2040
Si 4.5343 3.0658 6.5094
Si 6.1479 1.0219 0.0782
Si 7.1632 3.0658 3.5983
Pt 0.7671 3.0658 4.4658
Pt 1.1197 1.0219 8.6321
Pt 2.0789 3.0658 7.0040
Pt 2.5508 3.0658 2.3253
Pt 3.2917 1.0219 5.5460
Pt 3.7727 1.0219 0.7879
Pt 4.2734 3.0658 8.9256
Pt 4.7545 3.0658 4.1675
Pt 5.4953 1.0219 7.3881
Pt 5.9672 1.0219 2.7095
Pt 6.9264 3.0658 1.0814
Pt 7.2790 1.0219 5.2477

No. 13
8
Lattice="2.7172 1.5688 6.2299 -2.7172 1.5688 6.2299 0.0000 -3.1375 6.2299" Properties=species:S:1:pos:R:3 comment="DySiPt6 | the Alexandria database | PBE | optimized geometry" spacegroup="No. 166" de_polymorph_ev_per_fu=0.99 mass_density_g_cm3=14.2 crystal_system=trigonal pbc="T T T"
Dy 0.0000 0.0000 0.0000
Si 0.0000 0.0000 9.3449
Pt -1.3923 -0.8038 7.6309
Pt 0.0000 -1.6077 11.0589
Pt -1.3923 0.8038 11.0589
Pt 1.3923 -0.8038 7.6309
Pt 0.0000 1.6077 7.6309
Pt 1.3923 0.8038 11.0589

No. 14
9
Lattice="5.5331 0.0000 0.0000 -2.7666 4.7918 0.0000 0.0000 0.0000 6.3976" Properties=species:S:1:pos:R:3 comment="DySi2Pt6 | the Alexandria database | PBE | optimized geometry" spacegroup="No. 191" mass_density_g_cm3=13.6 crystal_system=hexagonal pbc="T T T"
Dy 0.0000 0.0000 0.0000
Si 0.0000 3.1946 3.1988
Si 2.7666 1.5973 3.1988
Pt -1.3833 2.3959 1.4077
Pt -1.3833 2.3959 4.9900
Pt 2.7666 0.0000 1.4077
Pt 2.7666 0.0000 4.9900
Pt 1.3833 2.3959 1.4077
Pt 1.3833 2.3959 4.9900

No. 15
8
Lattice="4.0379 0.0000 0.0000 0.0000 4.0379 0.0000 0.0000 0.0000 7.9573" Properties=species:S:1:pos:R:3 comment="DySiPt6 | the Alexandria database | PBE | optimized geometry" spacegroup="No. 123" de_polymorph_ev_per_fu=0.00 mass_density_g_cm3=17.4 crystal_system=tetragonal pbc="T T T"
Dy 0.0000 0.0000 0.0000
Si 0.0000 0.0000 3.9786
Pt 0.0000 2.0190 2.1327
Pt 0.0000 2.0190 5.8246
Pt 2.0190 0.0000 2.1327
Pt 2.0190 0.0000 5.8246
Pt 2.0190 2.0190 0.0000
Pt 2.0190 2.0190 3.9786

No. 16
28
Lattice="6.6438 -3.8451 0.0000 6.6438 3.8451 0.0000 -4.4799 0.0000 8.9813" Properties=species:S:1:pos:R:3 comment="Dy2Si3Pt9 | the Alexandria database | PBE | optimized geometry" spacegroup="No. 15" mass_density_g_cm3=15.7 crystal_system=monoclinic pbc="T T T"
Dy 1.1313 0.6549 2.2513
Dy -1.1086 -0.6549 6.7420
Dy 9.9163 0.6549 2.2393
Dy 7.6764 -0.6549 6.7299
Si 3.3219 1.9225 0.0000
Si 3.2167 2.0672 4.5047
Si 3.3510 2.0672 8.9673
Si 1.0820 -1.9225 4.4906
Si 5.4567 -2.0672 0.0140
Si 5.5910 -2.0672 4.4766
Pt 5.5113 3.2412 0.6656
Pt 5.5363 3.2412 3.8250
Pt 1.0733 0.6487 5.1650
Pt 4.0469 1.4945 2.3006
Pt 1.0188 0.6857 8.3796
Pt 3.2839 1.0885 6.7360
Pt 3.3133 -0.6487 0.6744
Pt 7.0007 1.4945 2.1900
Pt 3.2587 -0.6857 3.8890
Pt 5.5490 0.6857 5.0923
Pt 1.8070 -1.4945 6.7913
Pt 5.4945 0.6487 8.3069
Pt 5.5238 -1.0885 2.2453
Pt 7.7889 -0.6857 0.6016
Pt 4.7608 -1.4945 6.6806
Pt 7.7344 -0.6487 3.8162
Pt 3.2714 -3.2412 5.1563
Pt 3.2964 -3.2412 8.3156

No. 17
18
Lattice="8.1276 -1.9841 0.0000 8.1276 1.9841 0.0000 -2.9842 0.0000 9.4768" Properties=species:S:1:pos:R:3 comment="DySi2Pt3 | the Alexandria database | PBE | optimized geometry" spacegroup="No. 12" mass_density_g_cm3=13.1 crystal_system=monoclinic pbc="T T T"
Dy 0.0000 0.0000 0.0000
Dy 0.4242 0.0000 6.5332
Dy 12.8467 0.0000 2.9436
Si 2.8650 0.0000 1.2553
Si 4.2500 0.0000 5.2296
Si 6.8459 0.0000 2.1099
Si 6.4250 0.0000 7.3669
Si 9.0210 0.0000 4.2472
Si 10.4059 0.0000 8.2215
Pt -0.3405 0.0000 3.0919
Pt 2.4949 0.0000 3.6789
Pt 5.1430 0.0000 0.4589
Pt 3.7557 0.0000 7.6477
Pt 6.6355 0.0000 4.7384
Pt 9.5152 0.0000 1.8291
Pt 8.1279 0.0000 9.0179
Pt 10.7761 0.0000 5.7979
Pt 13.6114 0.0000 6.3849

The evaluated DFT total energy for the records listed, in turn: -113.69, -79.18, -51.15, -131.80, -183.66, -59.63, -45.93, -60.30, -60.65, -183.89, -45.73, -130.86, -50.63, -59.01, -51.61, -186.40, -119.58 eV/cell.
The evaluated energy relative to the elements, uncorrected for the records listed, in turn: -0.710, -0.900, -1.150, -1.022, -1.048, -1.201, -1.108, -1.116, -1.087, -0.909, -0.874, -0.831, -0.545, -0.813, -0.668, -0.954, -1.048 eV/atom.